The following is a DFT calculation (PBE) of a relaxed NdDy2Sb crystal.

Values from the calculation:
- Volume: 403.3 Å³ per cell
- Total magnetic moment: 0.61 μB/f.u.
- Raw formation energy: -1.4 eV per formula unit
- Offset from the most stable computed form: 217 meV per atom

Cell lengths 4.0201, 4.0201, 28.8120 Å; angles 90.00, 90.00, 120.00 degrees
Space group R3m (No. 160, hexagonal axes)
One atom of each set of equivalent atoms:
1 Nd 0.0000 0.0000 0.0000 [3 per cell]
2 Dy 0.0000 0.0000 0.5662 [3 per cell]
3 Dy 0.0000 0.0000 0.7659 [3 per cell]
4 Sb 0.0000 0.0000 0.1657 [3 per cell]